(1)
5
Lattice="5.282 0.000 0.000 0.000 5.282 0.000 0.000 0.000 5.282" Properties=species:S:1:pos:R:3 comment="Tl3CuRh (PBE, relaxed)" space_group="Pm-3m (221)" formation_energy_kj_per_mol_atoms=35 magmom_total_mub_per_fu=0.00 de_polymorph_mev_per_atom=0.0 pbc="T T T"
Rh 0.000 0.000 0.000
Tl 0.000 2.641 0.000
Cu 2.641 2.641 2.641
Tl 0.000 0.000 2.641
Tl 2.641 0.000 0.000

***

(2)
4
Lattice="4.779 -0.021 0.005 3.802 2.896 0.005 0.989 0.331 4.525" Properties=species:S:1:pos:R:3 comment="TlCu2Rh (PBE, relaxed)" space_group="C2/m (12)" formation_energy_kj_per_mol_atoms=17 magmom_total_mub_per_fu=0.00 de_polymorph_mev_per_atom=91.0 pbc="T T T"
Rh 2.393 0.802 1.134
Tl 7.178 2.405 3.401
Cu 4.822 1.616 2.120
Cu 8.544 2.863 0.157

***

(3)
4
Lattice="8.776 -0.044 -0.026 8.286 2.890 -0.026 8.286 1.382 2.538" Properties=species:S:1:pos:R:3 comment="TlCu2Rh (PBE, relaxed)" space_group="R-3m (166)" formation_energy_kj_per_mol_atoms=43 magmom_total_mub_per_fu=0.47 de_polymorph_mev_per_atom=362.5 pbc="T T T"
Cu 12.853 2.144 1.261
Tl 19.011 3.171 1.865
Rh 6.337 1.057 0.622
Cu 25.170 4.198 2.469